PBE BaAgO, relaxed; relative energy among the computed polymorphs = 262.8 meV per atom; uncorrected formation energy = -1207 meV per atom; SG = P4_2/mmc (131); DFT total energy = -13.35 eV per formula unit
1.0
-1.9249 3.3196 -3.7030
1.6818 -4.7591 -5.1406
-6.5048 -3.0234 0.6709
O Ag Ba
4 4 4
direct
0.0000 0.5000 0.2639
0.0000 0.5000 0.7361
0.5000 0.2639 0.5000
0.5000 0.7361 0.5000
0.0000 0.8132 0.0000
0.0000 0.1868 0.0000
0.5000 0.0000 0.1868
0.5000 0.0000 0.8132
0.0000 0.7640 0.5000
0.5000 0.5000 0.2360
0.5000 0.5000 0.7640
0.0000 0.2360 0.5000